(1)
# PrGaAu

An optimized crystal structure of PrGaAu (GGA-PBE, Alexandria via LeMat-Bulk).

a = 5.1355 Å, b = 4.4834 Å, c = 8.8196 Å
α = 80.40°, β = 73.07°, γ = 55.06°
Last column: nearest neighbours and their distance in Å.
Fractional coordinates of all 6 atoms:
Au 0.7500 0.5000 0.5000  2 Au 2.57
Au 0.2500 0.5000 0.5000  2 Au 2.57
Ga 0.8282 0.3436 0.0000  3 Ga 2.53-2.81
Ga 0.1718 0.6564 0.0000  3 Ga 2.53-2.81
Pr 0.6222 0.0000 0.7556  4 Au 3.11, 2 Ga 3.17
Pr 0.3778 0.0000 0.2444  4 Au 3.11, 2 Ga 3.17

Calculated values
energy: -24.8 eV/cell
total moment: 0.000 Bohr magnetons per cell

---

(2)
# K2HfCdS4

An optimized crystal structure of K2HfCdS4 (GGA-PBE, Alexandria via LeMat-Bulk).

a = 3.8593 Å, b = 7.6478 Å, c = 6.9654 Å
α = 71.48°, β = 90.00°, γ = 90.00°
Last column: nearest neighbours and their distance in Å.
Fractional coordinates of all 8 atoms:
K 0.0000 0.0000 0.0000  6 S 3.19-3.37
K 0.5000 0.0000 0.5000  6 S 3.07-3.14
Hf 0.0000 0.5000 0.5000  6 S 2.59-2.60
Cd 0.5000 0.5000 0.0000  6 S 2.69-2.92
S 0.0000 0.6872 0.7506  1 Hf 2.59, 2 Cd 2.69
S 0.0000 0.3128 0.2494  1 Hf 2.59, 2 Cd 2.69
S 0.5000 0.7008 0.2930  2 Hf 2.60
S 0.5000 0.2992 0.7070  2 Hf 2.60

Calculated values
energy: -39.5 eV/cell
total moment: 0.000 Bohr magnetons per cell
formation energy without anion corrections: -1237 meV per atom